# PBE+U Pm2FeReO8, optimized geometry
# * energy: -7.8136 eV/atom
# * mass density: 6.73 g/cm3
data_Pm2FeReO8
_chemical_formula_sum 'Pm2 Fe1 Re1 O8'
_symmetry_space_group_name_H-M 'P 1'
_symmetry_Int_Tables_number 1
_symmetry_space_group_name_Hall 'P 1'
_cell_length_a 4.624
_cell_length_b 5.105
_cell_length_c 6.981
_cell_angle_alpha 84.45
_cell_angle_beta 91.03
_cell_angle_gamma 96.52
loop_
_atom_site_label
_atom_site_fract_x
_atom_site_fract_y
_atom_site_fract_z
_atom_site_occupancy
Pm1 0.383 0.509 0.748 1
Pm2 0.617 0.491 0.252 1
Fe1 0.000 0.000 0.500 1
Re1 0.000 0.000 0.000 1
O1 0.147 0.719 0.146 1
O2 0.662 0.772 0.963 1
O3 0.844 0.095 0.244 1
O4 0.853 0.281 0.854 1
O5 0.338 0.228 0.037 1
O6 0.156 0.905 0.756 1
O7 0.730 0.704 0.526 1
O8 0.270 0.296 0.474 1